No. 1
## Tl2SnGe2Au7 (GGA-PBE)

Data for a relaxed structure of Tl2SnGe2Au7.

Output
total magnetic moment: 0.00 μB/atom
formation energy from the elements: 0.01 eV per atom
Fermi-level density of states: 9.61 states/eV per cell

a b c (Å): 5.979 6.063 16.024
angles (deg): 90.00 98.76 90.00
Space group C2/m (No. 12)
One atom of each set of equivalent atoms:
Tl (0.200, 0.000, 0.418) (multiplicity 4)
Sn (0.000, 0.000, 0.000) (multiplicity 2)
Ge (0.087, 0.500, 0.233) (multiplicity 4)
Au (0.000, 0.500, 0.000) (multiplicity 2)
Au (0.189, 0.500, 0.392) (multiplicity 4)
Au (0.199, 0.249, 0.861) (multiplicity 8)

---

No. 2
## TlSnGe2Au (GGA-PBE)

Data for a relaxed structure of TlSnGe2Au.

Output
total magnetic moment: 0.00 μB/atom
excess energy over the best structure of this formula in the dataset: 0.000 eV per atom
formation energy from the elements: 0.84 eV per atom
Fermi-level density of states: 3.77 states/eV per cell

a b c (Å): 5.361 5.361 5.248
angles (deg): 90.00 90.00 90.00
Space group P4/mmm (No. 123)
One atom of each set of equivalent atoms:
Tl (0.000, 0.000, 0.000) (multiplicity 1)
Sn (0.500, 0.500, 0.500) (multiplicity 1)
Ge (0.000, 0.500, 0.000) (multiplicity 2)
Au (0.000, 0.000, 0.500) (multiplicity 1)

---

No. 3
## Tl2SnGeAu6 (GGA-PBE)

Data for a relaxed structure of Tl2SnGeAu6.

Output
total magnetic moment: 0.00 μB/atom
formation energy from the elements: -0.01 eV per atom
Fermi-level density of states: 9.49 states/eV per cell

a b c (Å): 5.805 9.200 9.147
angles (deg): 90.00 90.00 90.00
Space group Pmmn (No. 59, origin choice 2)
One atom of each set of equivalent atoms:
Tl (0.250, 0.007, 0.203) (multiplicity 4)
Sn (0.250, 0.750, 0.772) (multiplicity 2)
Ge (0.250, 0.250, 0.743) (multiplicity 2)
Au (0.001, 0.250, 0.975) (multiplicity 4)
Au (0.002, 0.750, 0.502) (multiplicity 4)
Au (0.250, 0.002, 0.609) (multiplicity 4)

---

No. 4
## USnGeAu (GGA-PBE)

Data for a relaxed structure of USnGeAu.

Output
total magnetic moment: 0.65 μB/atom
formation energy from the elements: -0.07 eV per atom
Fermi-level density of states: 18.44 states/eV per cell

a b c (Å): 7.070 7.070 7.070
angles (deg): 90.00 90.00 90.00
Space group F-43m (No. 216)
One atom of each set of equivalent atoms:
U (0.000, 0.000, 0.000) (multiplicity 4)
Sn (0.000, 0.000, 0.500) (multiplicity 4)
Ge (0.250, 0.250, 0.250) (multiplicity 4)
Au (0.250, 0.250, 0.750) (multiplicity 4)

---

No. 5
## Sr3Ge2Au2 (GGA-PBE)

Data for a relaxed structure of Sr3Ge2Au2.

Output
total magnetic moment: 0.00 μB/atom
formation energy from the elements: -0.67 eV per atom
Fermi-level density of states: 7.75 states/eV per cell

a b c (Å): 11.441 4.740 7.832
angles (deg): 90.00 109.85 90.00
Space group C2/m (No. 12)
One atom of each set of equivalent atoms:
Sr (0.000, 0.000, 0.000) (multiplicity 2)
Sr (0.178, 0.000, 0.643) (multiplicity 4)
Ge (0.034, 0.500, 0.359) (multiplicity 4)
Au (0.180, 0.500, 0.919) (multiplicity 4)

---

No. 6
## SrGeAu (GGA-PBE)

Data for a relaxed structure of SrGeAu.

Output
total magnetic moment: 0.00 μB/atom
formation energy from the elements: -0.68 eV per atom
Fermi-level density of states: 1.21 states/eV per cell

a b c (Å): 4.5766 4.5766 4.1915
angles (deg): 90.00 90.00 120.00
Space group P-6m2 (No. 187)
One atom of each set of equivalent atoms:
Sr (0.0000, 0.0000, 0.0000) (multiplicity 1)
Ge (0.6667, 0.3333, 0.5000) (multiplicity 1)
Au (0.3333, 0.6667, 0.5000) (multiplicity 1)

---

No. 7
## SrGeAu3 (GGA-PBE)

Data for a relaxed structure of SrGeAu3.

Output
total magnetic moment: 0.08 μB/atom
excess energy over the best structure of this formula in the dataset: 1.319 eV per atom
formation energy from the elements: 0.80 eV per atom
Fermi-level density of states: 4.14 states/eV per cell

a b c (Å): 5.633 5.633 5.633
angles (deg): 90.00 90.00 90.00
Space group Pm-3m (No. 221)
One atom of each set of equivalent atoms:
Sr (0.000, 0.000, 0.000) (multiplicity 1)
Ge (0.500, 0.500, 0.500) (multiplicity 1)
Au (0.000, 0.000, 0.500) (multiplicity 3)

---

No. 8
## Sr2GeAu2 (GGA-PBE)

Data for a relaxed structure of Sr2GeAu2.

Output
total magnetic moment: 0.00 μB/atom
formation energy from the elements: -0.66 eV per atom
Fermi-level density of states: 2.35 states/eV per cell

a b c (Å): 4.559 6.298 9.227
angles (deg): 90.00 90.00 90.00
Space group Immm (No. 71)
One atom of each set of equivalent atoms:
Sr (0.000, 0.000, 0.203) (multiplicity 4)
Ge (0.000, 0.500, 0.000) (multiplicity 2)
Au (0.000, 0.270, 0.500) (multiplicity 4)

---

No. 9
## Sr4Ge2Au5 (GGA-PBE)

Data for a relaxed structure of Sr4Ge2Au5.

Output
total magnetic moment: 0.00 μB/atom
formation energy from the elements: -0.65 eV per atom
Fermi-level density of states: 3.33 states/eV per cell

a b c (Å): 7.667 4.350 8.811
angles (deg): 90.00 92.54 90.00
Space group P2/m (No. 10)
One atom of each set of equivalent atoms:
Sr (0.226, 0.000, 0.134) (multiplicity 2)
Sr (0.270, 0.000, 0.627) (multiplicity 2)
Ge (0.065, 0.500, 0.377) (multiplicity 2)
Au (0.133, 0.500, 0.877) (multiplicity 2)
Au (0.408, 0.500, 0.356) (multiplicity 2)
Au (0.500, 0.500, 0.000) (multiplicity 1)

---

No. 10
## SrGeAu3 (GGA-PBE)

Data for a relaxed structure of SrGeAu3.

Output
total magnetic moment: 0.00 μB/atom
excess energy over the best structure of this formula in the dataset: 0.156 eV per atom
formation energy from the elements: -0.36 eV per atom
Fermi-level density of states: 3.50 states/eV per cell

a b c (Å): 7.046 7.089 5.087
angles (deg): 90.00 90.00 90.00
Space group Pbam (No. 55)
One atom of each set of equivalent atoms:
Sr (0.000, 0.000, 0.000) (multiplicity 2)
Ge (0.000, 0.500, 0.500) (multiplicity 2)
Au (0.000, 0.500, 0.000) (multiplicity 2)
Au (0.215, 0.216, 0.500) (multiplicity 4)

---

No. 11
## Sr2GeAu2 (GGA-PBE)

Data for a relaxed structure of Sr2GeAu2.

Output
total magnetic moment: 0.00 μB/atom
formation energy from the elements: -0.52 eV per atom
Fermi-level density of states: 0.00 states/eV per cell

a b c (Å): 6.168 6.168 7.749
angles (deg): 90.00 90.00 90.00
Space group I4/mmm (No. 139)
One atom of each set of equivalent atoms:
Sr (0.000, 0.500, 0.250) (multiplicity 4)
Ge (0.000, 0.000, 0.000) (multiplicity 2)
Au (0.000, 0.000, 0.330) (multiplicity 4)

---

No. 12
## SrGe2Au (GGA-PBE)

Data for a relaxed structure of SrGe2Au.

Output
total magnetic moment: 0.00 μB/atom
formation energy from the elements: -0.43 eV per atom
Fermi-level density of states: 2.57 states/eV per cell

a b c (Å): 4.3779 4.3779 17.0880
angles (deg): 90.00 90.00 120.00
Space group R-3m (No. 166, hexagonal axes)
One atom of each set of equivalent atoms:
Sr (0.0000, 0.0000, 0.0000) (multiplicity 3)
Ge (0.0000, 0.0000, 0.2188) (multiplicity 6)
Au (0.0000, 0.0000, 0.5000) (multiplicity 3)

---

No. 13
## SrGe2Au4 (GGA-PBE)

Data for a relaxed structure of SrGe2Au4.

Output
total magnetic moment: 0.00 μB/atom
excess energy over the best structure of this formula in the dataset: 0.015 eV per atom
formation energy from the elements: -0.34 eV per atom
Fermi-level density of states: 11.01 states/eV per cell

a b c (Å): 18.275 4.816 6.731
angles (deg): 90.00 90.00 90.00
Space group Pnma (No. 62)
One atom of each set of equivalent atoms:
Sr (0.138, 0.250, 0.029) (multiplicity 4)
Ge (0.028, 0.750, 0.196) (multiplicity 4)
Ge (0.224, 0.250, 0.582) (multiplicity 4)
Au (0.032, 0.750, 0.775) (multiplicity 4)
Au (0.081, 0.250, 0.540) (multiplicity 4)
Au (0.153, 0.750, 0.364) (multiplicity 4)
Au (0.206, 0.750, 0.757) (multiplicity 4)

---

No. 14
## SrGeAu4 (GGA-PBE)

Data for a relaxed structure of SrGeAu4.

Output
total magnetic moment: 0.00 μB/atom
excess energy over the best structure of this formula in the dataset: 0.000 eV per atom
formation energy from the elements: -0.36 eV per atom
Fermi-level density of states: 5.86 states/eV per cell

a b c (Å): 5.198 14.600 7.254
angles (deg): 90.00 90.00 90.00
Space group Cmcm (No. 63)
One atom of each set of equivalent atoms:
Sr (0.000, 0.106, 0.250) (multiplicity 4)
Ge (0.000, 0.374, 0.250) (multiplicity 4)
Au (0.000, 0.115, 0.750) (multiplicity 4)
Au (0.000, 0.288, 0.558) (multiplicity 8)
Au (0.000, 0.500, 0.000) (multiplicity 4)

---

No. 15
## SrGeAu3 (GGA-PBE)

Data for a relaxed structure of SrGeAu3.

Output
total magnetic moment: 0.00 μB/atom
excess energy over the best structure of this formula in the dataset: 0.090 eV per atom
formation energy from the elements: -0.43 eV per atom
Fermi-level density of states: 5.50 states/eV per cell

a b c (Å): 5.804 9.604 8.656
angles (deg): 90.00 90.00 90.00
Space group Imma (No. 74)
One atom of each set of equivalent atoms:
Sr (0.000, 0.250, 0.033) (multiplicity 4)
Ge (0.000, 0.000, 0.500) (multiplicity 4)
Au (0.000, 0.250, 0.634) (multiplicity 4)
Au (0.250, 0.005, 0.250) (multiplicity 8)

---

No. 16
## SrGeAu (GGA-PBE)

Data for a relaxed structure of SrGeAu.

Output
total magnetic moment: 0.00 μB/atom
formation energy from the elements: -0.66 eV per atom
Fermi-level density of states: 3.32 states/eV per cell

a b c (Å): 4.378 4.514 7.875
angles (deg): 90.00 90.00 90.00
Space group Pmmm (No. 47)
One atom of each set of equivalent atoms:
Sr (0.000, 0.000, 0.000) (multiplicity 1)
Sr (0.000, 0.500, 0.500) (multiplicity 1)
Ge (0.500, 0.000, 0.343) (multiplicity 2)
Au (0.500, 0.500, 0.178) (multiplicity 2)

---

No. 17
## Sr5Ge2Au2 (GGA-PBE)

Data for a relaxed structure of Sr5Ge2Au2.

Output
total magnetic moment: 0.00 μB/atom
formation energy from the elements: -0.62 eV per atom
Fermi-level density of states: 30.28 states/eV per cell

a b c (Å): 16.683 8.254 8.317
angles (deg): 90.00 90.00 90.00
Space group Cmce (No. 64)
One atom of each set of equivalent atoms:
Sr (0.000, 0.000, 0.000) (multiplicity 4)
Sr (0.137, 0.173, 0.329) (multiplicity 16)
Ge (0.000, 0.114, 0.614) (multiplicity 8)
Au (0.204, 0.000, 0.000) (multiplicity 8)

---

No. 18
## SrGe3Au4 (GGA-PBE)

Data for a relaxed structure of SrGe3Au4.

Output
total magnetic moment: 0.00 μB/atom
formation energy from the elements: -0.30 eV per atom
Fermi-level density of states: 7.00 states/eV per cell

a b c (Å): 6.565 6.626 7.931
angles (deg): 90.00 90.00 90.00
Space group Cmmm (No. 65)
One atom of each set of equivalent atoms:
Sr (0.000, 0.000, 0.000) (multiplicity 2)
Ge (0.000, 0.000, 0.500) (multiplicity 2)
Ge (0.000, 0.500, 0.161) (multiplicity 4)
Au (0.250, 0.250, 0.311) (multiplicity 8)

---

No. 19
## SrGe2Au4 (GGA-PBE)

Data for a relaxed structure of SrGe2Au4.

Output
total magnetic moment: 0.00 μB/atom
excess energy over the best structure of this formula in the dataset: 0.000 eV per atom
formation energy from the elements: -0.35 eV per atom
Fermi-level density of states: 2.93 states/eV per cell

a b c (Å): 7.457 6.292 6.907
angles (deg): 90.00 105.78 90.00
Space group C2/m (No. 12)
One atom of each set of equivalent atoms:
Sr (0.000, 0.000, 0.000) (multiplicity 2)
Ge (0.044, 0.500, 0.200) (multiplicity 4)
Au (0.166, 0.243, 0.667) (multiplicity 8)

---

No. 20
## Sr2GeAu2 (GGA-PBE)

Data for a relaxed structure of Sr2GeAu2.

Output
total magnetic moment: 0.00 μB/atom
formation energy from the elements: -0.57 eV per atom
Fermi-level density of states: 4.80 states/eV per cell

a b c (Å): 7.996 7.996 4.263
angles (deg): 90.00 90.00 90.00
Space group P4/mbm (No. 127)
One atom of each set of equivalent atoms:
Sr (0.178, 0.322, 0.000) (multiplicity 4)
Ge (0.000, 0.000, 0.500) (multiplicity 2)
Au (0.126, 0.626, 0.500) (multiplicity 4)

---

No. 21
## Sr3Ge2Au4 (GGA-PBE)

Data for a relaxed structure of Sr3Ge2Au4.

Output
total magnetic moment: 0.00 μB/atom
formation energy from the elements: -0.68 eV per atom
Fermi-level density of states: 9.95 states/eV per cell

a b c (Å): 11.707 4.589 9.025
angles (deg): 90.00 103.87 90.00
Space group C2/m (No. 12)
One atom of each set of equivalent atoms:
Sr (0.000, 0.000, 0.000) (multiplicity 2)
Sr (0.168, 0.500, 0.667) (multiplicity 4)
Ge (0.102, 0.500, 0.283) (multiplicity 4)
Au (0.058, 0.000, 0.381) (multiplicity 4)
Au (0.213, 0.500, 0.068) (multiplicity 4)

---

No. 22
## Sr8GeAu2 (GGA-PBE)

Data for a relaxed structure of Sr8GeAu2.

Output
total magnetic moment: 0.00 μB/atom
formation energy from the elements: -0.37 eV per atom
Fermi-level density of states: 17.47 states/eV per cell

a b c (Å): 9.608 14.134 6.991
angles (deg): 90.00 109.02 90.00
Space group Cm (No. 8)
One atom of each set of equivalent atoms:
Sr (0.000, 0.000, 0.000) (multiplicity 2)
Sr (0.066, 0.366, 0.819) (multiplicity 4)
Sr (0.151, 0.131, 0.610) (multiplicity 4)
Sr (0.213, 0.500, 0.386) (multiplicity 2)
Sr (0.363, 0.205, 0.209) (multiplicity 4)
Ge (0.354, 0.000, 0.990) (multiplicity 2)
Au (0.350, 0.315, 0.681) (multiplicity 4)

---

No. 23
## Sr4GeAu3 (GGA-PBE)

Data for a relaxed structure of Sr4GeAu3.

Output
total magnetic moment: 0.00 μB/atom
formation energy from the elements: -0.69 eV per atom
Fermi-level density of states: 5.80 states/eV per cell

a b c (Å): 4.383 4.692 11.731
angles (deg): 90.00 90.00 90.00
Space group Pmm2 (No. 25)
One atom of each set of equivalent atoms:
Sr (0.000, 0.000, 0.000) (multiplicity 1)
Sr (0.000, 0.500, 0.272) (multiplicity 1)
Sr (0.500, 0.000, 0.493) (multiplicity 1)
Sr (0.500, 0.500, 0.779) (multiplicity 1)
Ge (0.500, 0.000, 0.211) (multiplicity 1)
Au (0.000, 0.000, 0.713) (multiplicity 1)
Au (0.000, 0.500, 0.559) (multiplicity 1)
Au (0.500, 0.500, 0.063) (multiplicity 1)